1.
Computed, not measured: an optimized crystal structure of Sr2DyMoN4 at the GGA-PBE level of DFT.

Values from the calculation:
volume = 18.7 Å³ per atom
N(E_F) = 0.26 states/eV/atom
E_form (uncorrected) = -0.933 eV per atom
space-group type = Pmn2_1, No. 31

Cell and atoms, written as POSCAR:
```
Sr2DyMoN4
1.0
7.6440 0.0000 0.0000
0.0000 7.0001 0.0000
0.0000 0.0000 5.5959
Sr Dy Mo N
4 2 2 8
Cartesian
1.8875 1.1318 0.0000
1.9345 5.8683 2.7980
5.7095 5.8683 2.7980
5.7564 1.1318 0.0000
0.0000 4.5956 0.0791
3.8220 2.4045 2.8770
0.0000 2.4386 2.9965
3.8220 4.5614 0.1985
0.0000 2.5603 4.8606
0.0000 4.2347 2.3364
1.6237 1.5161 2.5983
2.1983 5.4840 5.3963
3.8220 2.7654 5.1343
3.8220 4.4398 2.0627
5.4457 5.4840 5.3963
6.0203 1.5161 2.5983
```



2.
Computed, not measured: an optimized crystal structure of SrDyMoN3 at the GGA-PBE level of DFT.

Values from the calculation:
volume = 18.2 Å³ per atom
N(E_F) = 0.25 states/eV/atom
E_form (uncorrected) = -0.842 eV per atom
space-group type = P2_1/m, No. 11

Cell and atoms, written as POSCAR:
```
SrDyMoN3
1.0
7.5907 0.0000 0.0000
0.0000 3.5914 0.0000
-1.5144 0.0000 8.0011
Sr Dy Mo N
2 2 2 6
Cartesian
1.1195 0.8978 1.3778
4.9568 2.6935 6.6233
1.5822 2.6935 6.7909
4.4941 0.8978 1.2102
-0.2577 0.8978 4.8532
6.3340 2.6935 3.1479
-0.4456 0.8978 6.6971
0.4919 2.6935 4.2770
3.0248 2.6935 1.0346
3.0515 0.8978 6.9664
5.5844 0.8978 3.7241
6.5219 2.6935 1.3040
```